A relaxed structure of Y8TlOs2, computed with PBE-GGA.

Summary:
**Spin magnetization**: 0.000 Bohr magnetons per cell
**Space group**: C2/m
**Formation energy**: -2.10 eV per formula unit
**DOS at the Fermi energy**: 0.8526 states/eV per atom

Geometry as extended XYZ:
```
11
Lattice="4.421 -6.588 0.000 4.421 6.588 0.000 -1.285 0.000 5.338" Properties=species:S:1:pos:R:3 pbc="T T T"
Y 0.998 1.775 3.099
Y 4.421 3.334 0.000
Y 0.998 -1.775 3.099
Y 3.132 0.000 1.076
Y 4.424 0.000 4.262
Y 6.558 1.775 2.238
Y 4.421 -3.334 0.000
Y 6.558 -1.775 2.238
Tl 0.000 0.000 0.000
Os 3.778 2.441 2.669
Os 3.778 -2.441 2.669
```